# 1
Li2AlZn at its PBEsol-relaxed geometry. Source: the Alexandria database, functional SCAN.

CIF file:
```
data_Li2AlZn
_space_group_name_H-M_alt 'C m m m'
_space_group_IT_number 65
_space_group_name_Hall '-C 2 2'
_cell_length_a 3.5973
_cell_length_b 3.9935
_cell_length_c 8.4979
_cell_angle_alpha 90.00
_cell_angle_beta 90.00
_cell_angle_gamma 90.00
loop_
_atom_site_label
_atom_site_type_symbol
_atom_site_fract_x
_atom_site_fract_y
_atom_site_fract_z
Li1 Li 0.0000 0.0000 0.2464
Al1 Al 0.0000 0.5000 0.5000
Zn1 Zn 0.0000 0.5000 0.0000
```

Output
- formation enthalpy at 0 K (eV per atom) = -0.13

# 2
LiAlZn2 at its PBEsol-relaxed geometry. Source: the Alexandria database, functional SCAN.

CIF file:
```
data_LiAlZn2
_space_group_name_H-M_alt 'R -3 m'
_space_group_IT_number 166
_space_group_name_Hall '-R 3 2"'
_cell_length_a 2.7792
_cell_length_b 2.7792
_cell_length_c 26.5877
_cell_angle_alpha 90.00
_cell_angle_beta 90.00
_cell_angle_gamma 120.00
loop_
_atom_site_label
_atom_site_type_symbol
_atom_site_fract_x
_atom_site_fract_y
_atom_site_fract_z
Li1 Li 0.0000 0.0000 0.0000
Al1 Al 0.0000 0.0000 0.5000
Zn1 Zn 0.0000 0.0000 0.2513
```

Output
- formation enthalpy at 0 K (eV per atom) = -0.07

# 3
LiAl2Zn at its PBEsol-relaxed geometry. Source: the Alexandria database, functional SCAN.

CIF file:
```
data_LiAl2Zn
_space_group_name_H-M_alt 'C 1 m 1'
_space_group_IT_number 8
_space_group_name_Hall 'C -2y'
_cell_length_a 9.2193
_cell_length_b 2.7512
_cell_length_c 4.9525
_cell_angle_alpha 90.00
_cell_angle_beta 98.92
_cell_angle_gamma 90.00
loop_
_atom_site_label
_atom_site_type_symbol
_atom_site_fract_x
_atom_site_fract_y
_atom_site_fract_z
Li1 Li 0.0000 0.0000 0.0000
Al1 Al 0.0036 0.5000 0.5053
Al2 Al 0.2540 0.5000 0.2518
Zn1 Zn 0.2518 0.0000 0.7620
```

Output
- formation enthalpy at 0 K (eV per atom) = -0.07

# 4
LiAlZn4 at its PBEsol-relaxed geometry. Source: the Alexandria database, functional SCAN.

CIF file:
```
data_LiAlZn4
_space_group_name_H-M_alt 'F -4 3 m'
_space_group_IT_number 216
_space_group_name_Hall 'F -4 2 3'
_cell_length_a 7.1013
_cell_length_b 7.1013
_cell_length_c 7.1013
_cell_angle_alpha 90.00
_cell_angle_beta 90.00
_cell_angle_gamma 90.00
loop_
_atom_site_label
_atom_site_type_symbol
_atom_site_fract_x
_atom_site_fract_y
_atom_site_fract_z
Li1 Li 0.0000 0.0000 0.0000
Al1 Al 0.2500 0.2500 0.7500
Zn1 Zn 0.1255 0.1255 0.3745
```

Output
- formation enthalpy at 0 K (eV per atom) = -0.12

# 5
Li2AlZn at its PBEsol-relaxed geometry. Source: the Alexandria database, functional SCAN.

CIF file:
```
data_Li2AlZn
_space_group_name_H-M_alt 'P 1 2/m 1'
_space_group_IT_number 10
_space_group_name_Hall '-P 2y'
_cell_length_a 2.6910
_cell_length_b 4.3411
_cell_length_c 5.3042
_cell_angle_alpha 90.00
_cell_angle_beta 102.19
_cell_angle_gamma 90.00
loop_
_atom_site_label
_atom_site_type_symbol
_atom_site_fract_x
_atom_site_fract_y
_atom_site_fract_z
Li1 Li 0.0318 0.0000 0.2522
Al1 Al 0.5000 0.5000 0.0000
Zn1 Zn 0.5000 0.5000 0.5000
```

Output
- formation enthalpy at 0 K (eV per atom) = -0.15

# 6
LiAl2Zn at its PBEsol-relaxed geometry. Source: the Alexandria database, functional SCAN.

CIF file:
```
data_LiAl2Zn
_space_group_name_H-M_alt 'P 1 m 1'
_space_group_IT_number 6
_space_group_name_Hall 'P -2y'
_cell_length_a 2.8114
_cell_length_b 4.3121
_cell_length_c 5.3370
_cell_angle_alpha 90.00
_cell_angle_beta 102.44
_cell_angle_gamma 90.00
loop_
_atom_site_label
_atom_site_type_symbol
_atom_site_fract_x
_atom_site_fract_y
_atom_site_fract_z
Li1 Li 0.0000 0.0000 0.0000
Al1 Al 0.3148 0.5000 0.6915
Al2 Al 0.7185 0.0000 0.4767
Zn1 Zn 0.5612 0.5000 0.1969
```

Output
- formation enthalpy at 0 K (eV per atom) = -0.07

# 7
Li3ZrAl at its PBEsol-relaxed geometry. Source: the Alexandria database, functional SCAN.

CIF file:
```
data_Li3ZrAl
_space_group_name_H-M_alt 'P m -3 m'
_space_group_IT_number 221
_space_group_name_Hall '-P 4 2 3'
_cell_length_a 4.5204
_cell_length_b 4.5204
_cell_length_c 4.5204
_cell_angle_alpha 90.00
_cell_angle_beta 90.00
_cell_angle_gamma 90.00
loop_
_atom_site_label
_atom_site_type_symbol
_atom_site_fract_x
_atom_site_fract_y
_atom_site_fract_z
Li1 Li 0.0000 0.0000 0.5000
Zr1 Zr 0.5000 0.5000 0.5000
Al1 Al 0.0000 0.0000 0.0000
```

Output
- formation enthalpy at 0 K (eV per atom) = 0.59

# 8
LiZrAl at its PBEsol-relaxed geometry. Source: the Alexandria database, functional SCAN.

CIF file:
```
data_LiZrAl
_space_group_name_H-M_alt 'F -4 3 m'
_space_group_IT_number 216
_space_group_name_Hall 'F -4 2 3'
_cell_length_a 6.0237
_cell_length_b 6.0237
_cell_length_c 6.0237
_cell_angle_alpha 90.00
_cell_angle_beta 90.00
_cell_angle_gamma 90.00
loop_
_atom_site_label
_atom_site_type_symbol
_atom_site_fract_x
_atom_site_fract_y
_atom_site_fract_z
Li1 Li 0.0000 0.0000 0.0000
Zr1 Zr 0.2500 0.2500 0.2500
Al1 Al 0.2500 0.2500 0.7500
```

Output
- formation enthalpy at 0 K (eV per atom) = 0.19

# 9
Lu3Al2 at its PBEsol-relaxed geometry. Source: the Alexandria database, functional SCAN.

CIF file:
```
data_Lu3Al2
_space_group_name_H-M_alt 'P 42/m n m'
_space_group_IT_number 136
_space_group_name_Hall '-P 4n 2n'
_cell_length_a 7.9571
_cell_length_b 7.9571
_cell_length_c 7.3449
_cell_angle_alpha 90.00
_cell_angle_beta 90.00
_cell_angle_gamma 90.00
loop_
_atom_site_label
_atom_site_type_symbol
_atom_site_fract_x
_atom_site_fract_y
_atom_site_fract_z
Lu1 Lu 0.0000 0.5000 0.2500
Lu2 Lu 0.1494 0.1494 0.0000
Lu3 Lu 0.2024 0.2024 0.5000
Al1 Al 0.1205 0.8795 0.3031
```

Output
- formation enthalpy at 0 K (eV per atom) = -0.34

# 10
Lu2MgAl at its PBEsol-relaxed geometry. Source: the Alexandria database, functional SCAN.

CIF file:
```
data_Lu2MgAl
_space_group_name_H-M_alt 'F m -3 m'
_space_group_IT_number 225
_space_group_name_Hall '-F 4 2 3'
_cell_length_a 7.1177
_cell_length_b 7.1177
_cell_length_c 7.1177
_cell_angle_alpha 90.00
_cell_angle_beta 90.00
_cell_angle_gamma 90.00
loop_
_atom_site_label
_atom_site_type_symbol
_atom_site_fract_x
_atom_site_fract_y
_atom_site_fract_z
Lu1 Lu 0.2500 0.2500 0.2500
Mg1 Mg 0.0000 0.0000 0.0000
Al1 Al 0.0000 0.0000 0.5000
```

Output
- formation enthalpy at 0 K (eV per atom) = -0.25

# 11
LuMn6Al6 at its PBEsol-relaxed geometry. Source: the Alexandria database, functional SCAN.

CIF file:
```
data_LuMn6Al6
_space_group_name_H-M_alt 'I m m m'
_space_group_IT_number 71
_space_group_name_Hall '-I 2 2'
_cell_length_a 4.8596
_cell_length_b 8.3962
_cell_length_c 8.5069
_cell_angle_alpha 90.00
_cell_angle_beta 90.00
_cell_angle_gamma 90.00
loop_
_atom_site_label
_atom_site_type_symbol
_atom_site_fract_x
_atom_site_fract_y
_atom_site_fract_z
Lu1 Lu 0.0000 0.0000 0.0000
Mn1 Mn 0.0000 0.5000 0.2607
Mn2 Mn 0.2500 0.2500 0.2500
Al1 Al 0.0000 0.0000 0.3403
Al2 Al 0.0000 0.3080 0.5000
Al3 Al 0.0000 0.3462 0.0000
```

Output
- formation enthalpy at 0 K (eV per atom) = -0.30

# 12
Lu3AlN at its PBEsol-relaxed geometry. Source: the Alexandria database, functional SCAN.

CIF file:
```
data_Lu3AlN
_space_group_name_H-M_alt 'P m -3 m'
_space_group_IT_number 221
_space_group_name_Hall '-P 4 2 3'
_cell_length_a 4.5788
_cell_length_b 4.5788
_cell_length_c 4.5788
_cell_angle_alpha 90.00
_cell_angle_beta 90.00
_cell_angle_gamma 90.00
loop_
_atom_site_label
_atom_site_type_symbol
_atom_site_fract_x
_atom_site_fract_y
_atom_site_fract_z
Lu1 Lu 0.0000 0.0000 0.5000
Al1 Al 0.5000 0.5000 0.5000
N1 N 0.0000 0.0000 0.0000
```

Output
- formation energy from raw total energies (eV per atom) = -1.109